(1)
A relaxed structure of Gd2Zr, computed with PBE.

```
6
Lattice="0.0000 6.0539 6.0539 6.0539 0.0000 6.0539 6.0539 6.0539 0.0000" Properties=species:S:1:pos:R:3 pbc="T T T"
Gd 0.0000 0.0000 0.0000
Gd 3.0269 3.0269 0.0000
Gd 3.0269 0.0000 3.0269
Gd 0.0000 3.0269 3.0269
Zr 1.5135 1.5135 1.5135
Zr 10.5943 10.5943 10.5943
```

- DFT total energy (eV per formula unit) = -11.0
- ΔE to the lowest computed polymorph (meV per atom) = 2177

(2)
A relaxed structure of GdZr, computed with PBE.

```
8
Lattice="5.8890 0.0000 0.0000 0.0000 5.4185 0.0000 0.0000 0.0000 6.8248" Properties=species:S:1:pos:R:3 pbc="T T T"
Gd 0.5244 1.3546 0.8626
Gd 2.4201 4.0639 4.2750
Gd 3.4689 1.3546 2.5498
Gd 5.3646 4.0639 5.9622
Zr 0.3930 1.3546 4.2472
Zr 2.5516 4.0639 0.8347
Zr 3.3375 1.3546 5.9901
Zr 5.4961 4.0639 2.5777
```

- DFT total energy (eV per formula unit) = -13.0

(3)
A relaxed structure of GdZr2, computed with PBE.

```
12
Lattice="3.3114 0.0000 0.0000 0.0000 5.3262 0.0000 0.0000 0.0000 17.6627" Properties=species:S:1:pos:R:3 pbc="T T T"
Gd 0.8278 1.3315 3.3815
Gd 0.8278 3.9946 5.4340
Gd 2.4835 1.3315 12.2287
Gd 2.4835 3.9946 14.2812
Zr 0.8278 1.3315 9.2717
Zr 0.8278 1.3315 15.4498
Zr 0.8278 3.9946 11.0469
Zr 0.8278 3.9946 17.2206
Zr 2.4835 1.3315 0.4421
Zr 2.4835 1.3315 6.6158
Zr 2.4835 3.9946 2.2129
Zr 2.4835 3.9946 8.3910
```

- DFT total energy (eV per formula unit) = -21.6
- ΔE to the lowest computed polymorph (meV per atom) = 0

(4)
A relaxed structure of GdZr, computed with PBE.

```
12
Lattice="6.7961 0.0000 0.0000 0.0000 5.4338 0.0000 -1.6926 0.0000 8.8423" Properties=species:S:1:pos:R:3 pbc="T T T"
Gd -0.0003 1.3585 1.0805
Gd 0.0872 1.3585 6.7804
Gd 1.7791 4.0754 2.0408
Gd 3.3244 1.3585 6.8015
Gd 5.0163 4.0754 2.0619
Gd 5.1038 4.0754 7.7618
Zr 0.0769 4.0754 4.8616
Zr 1.7838 1.3585 3.8896
Zr 1.7184 4.0754 7.8868
Zr 3.3852 1.3585 0.9555
Zr 3.3197 4.0754 4.9527
Zr 5.0267 1.3585 3.9807
```

- DFT total energy (eV per formula unit) = -13.0

(5)
A relaxed structure of Gd2Zr, computed with PBE.

```
6
Lattice="2.4305 -7.3301 0.0000 2.4305 7.3301 0.0000 0.0000 0.0000 4.8139" Properties=species:S:1:pos:R:3 pbc="T T T"
Gd 2.4305 6.1680 3.6104
Gd 2.4305 3.6677 1.2035
Gd 2.4305 -3.6677 3.6104
Gd 2.4305 -6.1680 1.2035
Zr 2.4305 1.1076 3.6104
Zr 2.4305 -1.1076 1.2035
```

- DFT total energy (eV per formula unit) = -17.5
- ΔE to the lowest computed polymorph (meV per atom) = 0

(6)
A relaxed structure of GdZr, computed with PBE.

```
2
Lattice="0.0000 3.0590 3.0590 3.0590 0.0000 3.0590 3.0590 3.0590 0.0000" Properties=species:S:1:pos:R:3 pbc="T T T"
Gd 0.0000 0.0000 0.0000
Zr 3.0590 3.0590 3.0590
```

- DFT total energy (eV per formula unit) = -11.3

(7)
A relaxed structure of Gd2Zr, computed with PBE.

```
3
Lattice="0.0000 3.7036 3.7036 3.7036 0.0000 3.7036 3.7036 3.7036 0.0000" Properties=species:S:1:pos:R:3 pbc="T T T"
Gd 1.8518 1.8518 1.8518
Gd 5.5553 5.5553 5.5553
Zr 0.0000 0.0000 0.0000
```

- DFT total energy (eV per formula unit) = -15.5
- ΔE to the lowest computed polymorph (meV per atom) = 673

(8)
A relaxed structure of GdZr, computed with PBE.

```
12
Lattice="5.3944 0.0000 0.0000 0.0000 10.3622 0.0000 0.0000 0.0000 5.8780" Properties=species:S:1:pos:R:3 pbc="T T T"
Gd 0.0000 0.8518 0.0000
Gd 0.0000 4.2157 0.1529
Gd 0.0000 6.1464 3.0919
Gd 0.0000 9.5104 2.9390
Gd 2.6972 4.1481 3.9094
Gd 2.6972 6.2140 0.9704
Zr 0.0000 2.5018 2.9469
Zr 0.0000 7.8604 0.0079
Zr 2.6972 0.8951 3.9165
Zr 2.6972 2.3967 1.1539
Zr 2.6972 7.9655 4.0929
Zr 2.6972 9.4670 0.9775
```

- DFT total energy (eV per formula unit) = -13.0

no.,magnetic moment (μB per cell)
1,0.1
2,0.0
3,0.0
4,0.1
5,0.0
6,0.0
7,1.5
8,0.0